No. 1
The following is a DFT calculation (SCAN) of a crystal of YZn4Ru relaxed with PBEsol.

Results
The density of states at the Fermi level is 0.53 states/eV per atom. The crystal system is cubic. The calculation puts the energy of formation from the pure elements at -366.0 meV per atom.

Geometry as CIF:
```
data_YZn4Ru
_chemical_formula_sum 'Y1 Zn4 Ru1'
_cell_length_a 5.036
_cell_length_b 5.036
_cell_length_c 5.036
_cell_angle_alpha 60.00
_cell_angle_beta 60.00
_cell_angle_gamma 60.00
_space_group_name_H-M_alt 'P 1'
_space_group_IT_number 1
loop_
_space_group_symop_operation_xyz
'x,y,z'
loop_
_atom_site_label
_atom_site_type_symbol
_atom_site_fract_x
_atom_site_fract_y
_atom_site_fract_z
_atom_site_occupancy
Y1 Y 0.000 0.000 0.000 1
Zn1 Zn 0.129 0.624 0.624 1
Zn2 Zn 0.624 0.129 0.624 1
Zn3 Zn 0.624 0.624 0.129 1
Zn4 Zn 0.624 0.624 0.624 1
Ru1 Ru 0.250 0.250 0.250 1
```



No. 2
The following is a DFT calculation (SCAN) of a crystal of K2Bi2Au relaxed with PBEsol.

Results
The density of states at the Fermi level is 0.32 states/eV per atom. The crystal system is tetragonal. The calculation puts the energy of formation from the pure elements at -252.6 meV per atom.

Geometry as CIF:
```
data_K2Bi2Au
_chemical_formula_sum 'K2 Bi2 Au1'
_cell_length_a 10.123
_cell_length_b 10.123
_cell_length_c 10.123
_cell_angle_alpha 154.90
_cell_angle_beta 154.90
_cell_angle_gamma 35.79
_space_group_name_H-M_alt 'P 1'
_space_group_IT_number 1
loop_
_space_group_symop_operation_xyz
'x,y,z'
loop_
_atom_site_label
_atom_site_type_symbol
_atom_site_fract_x
_atom_site_fract_y
_atom_site_fract_z
_atom_site_occupancy
K1 K 0.094 0.094 0.000 1
K2 K 0.906 0.906 0.000 1
Bi1 Bi 0.250 0.750 0.500 1
Bi2 Bi 0.750 0.250 0.500 1
Au1 Au 0.500 0.500 0.000 1
```



No. 3
The following is a DFT calculation (SCAN) of a crystal of Li2Ti2O5 relaxed with PBEsol.

Results
The density of states at the Fermi level is 0.00 states/eV per atom. The uncorrected formation energy comes out at -2.9213 eV/atom. The calculation puts the relative energy among the computed polymorphs at 23 meV/atom. The crystal system is monoclinic.

Geometry as CIF:
```
data_Li2Ti2O5
_chemical_formula_sum 'Li8 Ti8 O20'
_cell_length_a 8.412
_cell_length_b 5.230
_cell_length_c 11.578
_cell_angle_alpha 90.00
_cell_angle_beta 110.96
_cell_angle_gamma 90.00
_space_group_name_H-M_alt 'P 1'
_space_group_IT_number 1
loop_
_space_group_symop_operation_xyz
'x,y,z'
loop_
_atom_site_label
_atom_site_type_symbol
_atom_site_fract_x
_atom_site_fract_y
_atom_site_fract_z
_atom_site_occupancy
Li1 Li 0.097 0.170 0.311 1
Li2 Li 0.097 0.330 0.811 1
Li3 Li 0.098 0.679 0.980 1
Li4 Li 0.098 0.821 0.480 1
Li5 Li 0.902 0.179 0.520 1
Li6 Li 0.902 0.321 0.020 1
Li7 Li 0.903 0.670 0.189 1
Li8 Li 0.903 0.830 0.689 1
Ti1 Ti 0.288 0.181 0.111 1
Ti2 Ti 0.288 0.319 0.611 1
Ti3 Ti 0.290 0.679 0.279 1
Ti4 Ti 0.290 0.821 0.779 1
Ti5 Ti 0.710 0.179 0.221 1
Ti6 Ti 0.710 0.321 0.721 1
Ti7 Ti 0.712 0.681 0.389 1
Ti8 Ti 0.712 0.819 0.889 1
O1 O 0.119 0.203 0.484 1
O2 O 0.119 0.297 0.984 1
O3 O 0.120 0.716 0.820 1
O4 O 0.120 0.784 0.320 1
O5 O 0.266 0.170 0.750 1
O6 O 0.266 0.330 0.250 1
O7 O 0.266 0.668 0.629 1
O8 O 0.266 0.832 0.129 1
O9 O 0.500 0.246 0.609 1
O10 O 0.500 0.254 0.109 1
O11 O 0.500 0.746 0.891 1
O12 O 0.500 0.754 0.391 1
O13 O 0.734 0.168 0.871 1
O14 O 0.734 0.332 0.371 1
O15 O 0.734 0.670 0.750 1
O16 O 0.734 0.830 0.250 1
O17 O 0.880 0.216 0.680 1
O18 O 0.880 0.284 0.180 1
O19 O 0.881 0.703 0.016 1
O20 O 0.881 0.797 0.516 1
```



No. 4
The following is a DFT calculation (SCAN) of a crystal of Sr2FeW relaxed with PBEsol.

Results
The density of states at the Fermi level is 0.88 states/eV per atom. The calculation puts the relative energy among the computed polymorphs at 0 meV/atom. The crystal system is tetragonal. The calculation puts the energy of formation from the pure elements at 712.0 meV per atom.

Geometry as CIF:
```
data_Sr2FeW
_chemical_formula_sum 'Sr2 Fe1 W1'
_cell_length_a 3.316
_cell_length_b 3.316
_cell_length_c 9.268
_cell_angle_alpha 90.00
_cell_angle_beta 90.00
_cell_angle_gamma 90.00
_space_group_name_H-M_alt 'P 1'
_space_group_IT_number 1
loop_
_space_group_symop_operation_xyz
'x,y,z'
loop_
_atom_site_label
_atom_site_type_symbol
_atom_site_fract_x
_atom_site_fract_y
_atom_site_fract_z
_atom_site_occupancy
Sr1 Sr 0.000 0.000 0.000 1
Sr2 Sr 0.500 0.500 0.398 1
Fe1 Fe 0.500 0.500 0.734 1
W1 W 0.000 0.000 0.670 1
```



No. 5
The following is a DFT calculation (SCAN) of a crystal of Ni2MoCl relaxed with PBEsol.

Results
The density of states at the Fermi level is 0.40 states/eV per atom. The uncorrected formation energy comes out at 0.2452 eV/atom. The calculation puts the relative energy among the computed polymorphs at 0 meV/atom. The crystal system is monoclinic.

Geometry as CIF:
```
data_Ni2MoCl
_chemical_formula_sum 'Ni2 Mo1 Cl1'
_cell_length_a 4.082
_cell_length_b 4.082
_cell_length_c 6.209
_cell_angle_alpha 94.12
_cell_angle_beta 94.12
_cell_angle_gamma 39.81
_space_group_name_H-M_alt 'P 1'
_space_group_IT_number 1
loop_
_space_group_symop_operation_xyz
'x,y,z'
loop_
_atom_site_label
_atom_site_type_symbol
_atom_site_fract_x
_atom_site_fract_y
_atom_site_fract_z
_atom_site_occupancy
Ni1 Ni 0.000 0.000 0.000 1
Ni2 Ni 0.729 0.729 0.173 1
Mo1 Mo 0.466 0.466 0.336 1
Cl1 Cl 0.030 0.030 0.649 1
```



No. 6
The following is a DFT calculation (SCAN) of a crystal of ErCu3Se2ClO8 relaxed with PBEsol.

Results
The uncorrected formation energy comes out at -1.4310 eV/atom. The crystal system is orthorhombic.

Geometry as CIF:
```
data_ErCu3Se2ClO8
_chemical_formula_sum 'Er2 Cu6 Se4 Cl2 O16'
_cell_length_a 6.250
_cell_length_b 9.376
_cell_length_c 6.896
_cell_angle_alpha 90.00
_cell_angle_beta 90.00
_cell_angle_gamma 90.00
_space_group_name_H-M_alt 'P 1'
_space_group_IT_number 1
loop_
_space_group_symop_operation_xyz
'x,y,z'
loop_
_atom_site_label
_atom_site_type_symbol
_atom_site_fract_x
_atom_site_fract_y
_atom_site_fract_z
_atom_site_occupancy
Er1 Er 0.250 0.250 0.233 1
Er2 Er 0.750 0.750 0.767 1
Cu1 Cu 0.000 0.000 0.500 1
Cu2 Cu 0.000 0.500 0.500 1
Cu3 Cu 0.250 0.250 0.707 1
Cu4 Cu 0.500 0.000 0.500 1
Cu5 Cu 0.500 0.500 0.500 1
Cu6 Cu 0.750 0.750 0.293 1
Se1 Se 0.250 0.563 0.915 1
Se2 Se 0.250 0.937 0.915 1
Se3 Se 0.750 0.063 0.085 1
Se4 Se 0.750 0.437 0.085 1
Cl1 Cl 0.250 0.750 0.349 1
Cl2 Cl 0.750 0.250 0.651 1
O1 O 0.035 0.590 0.761 1
O2 O 0.035 0.910 0.761 1
O3 O 0.250 0.112 0.503 1
O4 O 0.250 0.121 0.929 1
O5 O 0.250 0.379 0.929 1
O6 O 0.250 0.388 0.503 1
O7 O 0.465 0.590 0.761 1
O8 O 0.465 0.910 0.761 1
O9 O 0.535 0.090 0.239 1
O10 O 0.535 0.410 0.239 1
O11 O 0.750 0.612 0.497 1
O12 O 0.750 0.621 0.071 1
O13 O 0.750 0.879 0.071 1
O14 O 0.750 0.888 0.497 1
O15 O 0.965 0.090 0.239 1
O16 O 0.965 0.410 0.239 1
```



No. 7
The following is a DFT calculation (SCAN) of a crystal of BaMnSb3 relaxed with PBEsol.

Results
The density of states at the Fermi level is 0.71 states/eV per atom. The uncorrected formation energy comes out at -0.3778 eV/atom. The calculation puts the relative energy among the computed polymorphs at 0 meV/atom. The crystal system is cubic.

Geometry as CIF:
```
data_BaMnSb3
_chemical_formula_sum 'Ba1 Mn1 Sb3'
_cell_length_a 5.206
_cell_length_b 5.206
_cell_length_c 5.206
_cell_angle_alpha 90.00
_cell_angle_beta 90.00
_cell_angle_gamma 90.00
_space_group_name_H-M_alt 'P 1'
_space_group_IT_number 1
loop_
_space_group_symop_operation_xyz
'x,y,z'
loop_
_atom_site_label
_atom_site_type_symbol
_atom_site_fract_x
_atom_site_fract_y
_atom_site_fract_z
_atom_site_occupancy
Ba1 Ba 0.000 0.000 0.000 1
Mn1 Mn 0.500 0.500 0.500 1
Sb1 Sb 0.000 0.500 0.500 1
Sb2 Sb 0.500 0.000 0.500 1
Sb3 Sb 0.500 0.500 0.000 1
```



No. 8
The following is a DFT calculation (SCAN) of a crystal of AsP2CS relaxed with PBEsol.

Results
The density of states at the Fermi level is 0.79 states/eV per atom. The uncorrected formation energy comes out at 2.3194 eV/atom. The crystal system is tetragonal.

Geometry as CIF:
```
data_AsP2CS
_chemical_formula_sum 'As1 P2 C1 S1'
_cell_length_a 4.686
_cell_length_b 4.686
_cell_length_c 4.511
_cell_angle_alpha 90.00
_cell_angle_beta 90.00
_cell_angle_gamma 90.00
_space_group_name_H-M_alt 'P 1'
_space_group_IT_number 1
loop_
_space_group_symop_operation_xyz
'x,y,z'
loop_
_atom_site_label
_atom_site_type_symbol
_atom_site_fract_x
_atom_site_fract_y
_atom_site_fract_z
_atom_site_occupancy
As1 As 0.000 0.000 0.000 1
P1 P 0.000 0.500 0.000 1
P2 P 0.500 0.000 0.000 1
C1 C 0.500 0.500 0.500 1
S1 S 0.000 0.000 0.500 1
```



No. 9
The following is a DFT calculation (SCAN) of a crystal of LiTl2As relaxed with PBEsol.

Results
The density of states at the Fermi level is 0.30 states/eV per atom. The calculation puts the relative energy among the computed polymorphs at 80 meV/atom. The crystal system is orthorhombic. The calculation puts the energy of formation from the pure elements at -172.4 meV per atom.

Geometry as CIF:
```
data_LiTl2As
_chemical_formula_sum 'Li1 Tl2 As1'
_cell_length_a 7.529
_cell_length_b 7.529
_cell_length_c 7.529
_cell_angle_alpha 154.96
_cell_angle_beta 146.40
_cell_angle_gamma 42.36
_space_group_name_H-M_alt 'P 1'
_space_group_IT_number 1
loop_
_space_group_symop_operation_xyz
'x,y,z'
loop_
_atom_site_label
_atom_site_type_symbol
_atom_site_fract_x
_atom_site_fract_y
_atom_site_fract_z
_atom_site_occupancy
Li1 Li 0.000 0.000 0.000 1
Tl1 Tl 0.319 0.819 0.500 1
Tl2 Tl 0.681 0.181 0.500 1
As1 As 0.500 0.500 0.000 1
```



No. 10
The following is a DFT calculation (SCAN) of a crystal of CaTcSn2I relaxed with PBEsol.

Results
The density of states at the Fermi level is 0.67 states/eV per atom. The uncorrected formation energy comes out at 0.0755 eV/atom. The crystal system is tetragonal.

Geometry as CIF:
```
data_CaTcSn2I
_chemical_formula_sum 'Ca1 Tc1 Sn2 I1'
_cell_length_a 5.038
_cell_length_b 5.038
_cell_length_c 5.860
_cell_angle_alpha 90.00
_cell_angle_beta 90.00
_cell_angle_gamma 90.00
_space_group_name_H-M_alt 'P 1'
_space_group_IT_number 1
loop_
_space_group_symop_operation_xyz
'x,y,z'
loop_
_atom_site_label
_atom_site_type_symbol
_atom_site_fract_x
_atom_site_fract_y
_atom_site_fract_z
_atom_site_occupancy
Ca1 Ca 0.000 0.000 0.000 1
Tc1 Tc 0.500 0.500 0.500 1
Sn1 Sn 0.000 0.500 0.500 1
Sn2 Sn 0.500 0.000 0.500 1
I1 I 0.500 0.500 0.000 1
```